Below is a relaxed structure of CuMoI2, with properties calculated at the GGA-PBE level.

```
CuMoI2
1.0
6.546 0.000 0.000
0.000 6.546 0.000
3.273 3.273 6.188
Cu Mo I
2 2 4
Direct
0.250 0.750 0.500
0.500 0.500 0.000
0.750 0.250 0.500
0.000 0.000 0.000
0.586 0.125 0.250
0.875 0.836 0.750
0.375 0.414 0.750
0.164 0.625 0.250
```

Theoretical density in g/cm3: 5.18
Volume in Å³/cell: 265
Distance to the lowest polymorph of the same formula in eV/atom: 0.0000
E_form (uncorrected) in meV per atom: 709

Below is a relaxed structure of CuMoI2, with properties calculated at the GGA-PBE level.

```
CuMoI2
1.0
0.000 3.448 3.448
3.448 0.000 3.448
3.448 3.448 0.000
I Cu Mo
2 1 1
Direct
0.250 0.250 0.250
0.750 0.750 0.750
0.000 0.000 0.000
0.500 0.500 0.500
```

Theoretical density in g/cm3: 8.37
Volume in Å³/cell: 82
Distance to the lowest polymorph of the same formula in eV/atom: 0.1685
E_form (uncorrected) in meV per atom: 877

Below is a relaxed structure of CuMoIN2, with properties calculated at the GGA-PBE level.

```
CuMoIN2
1.0
3.967 0.000 0.000
0.000 3.967 0.000
0.000 0.000 5.374
N I Mo Cu
2 1 1 1
Direct
0.000 0.500 0.000
0.500 0.000 0.000
0.000 0.000 0.500
0.500 0.500 0.500
0.000 0.000 0.000
```

Theoretical density in g/cm3: 6.17
Volume in Å³/cell: 85
Distance to the lowest polymorph of the same formula in eV/atom: 1.3126
E_form (uncorrected) in meV per atom: 1950

Below is a relaxed structure of CuMoIN2, with properties calculated at the GGA-PBE level.

```
CuMoIN2
1.0
-0.059 -0.212 3.886
3.591 -1.500 -0.028
2.274 5.437 0.332
Mo Cu N I
1 1 2 1
Direct
0.000 0.000 0.000
0.500 0.500 0.500
0.000 0.500 0.000
0.500 0.000 0.000
0.000 0.000 0.500
```

Theoretical density in g/cm3: 5.84
Volume in Å³/cell: 89
Distance to the lowest polymorph of the same formula in eV/atom: 0.0000
E_form (uncorrected) in meV per atom: 637